[1]
Computed, not measured: Pr2NdBr8 after structural relaxation at the PBE level of DFT.

Properties
M_tot in μB per formula unit: 1.066
SG: C2/m (12)
Raw formation energy in kJ per mole of atoms: -159.49

a b c (Å): 5.9019 8.0143 8.0143
angles (deg): 111.78 99.61 99.61
Last column: magnetic moment on the atom in μB.
Fractional positions:
Br 0.9151 0.9305 0.6755  0.00
Br 0.5000 0.7727 0.2273  0.00
Br 0.0849 0.3245 0.0695  0.00
Br 0.6764 0.3625 0.3625  0.00
Br 0.5000 0.2273 0.7727  0.00
Br 0.9151 0.6755 0.9305  0.00
Br 0.3236 0.6375 0.6375  0.00
Br 0.0849 0.0695 0.3245  0.00
Pr 0.0000 0.6858 0.3142  0.12
Pr 0.0000 0.3142 0.6858  0.12
Nd 0.5000 0.0000 0.0000  0.37

---

[2]
Computed, not measured: La12NdNi6 after structural relaxation at the PBE level of DFT.

Properties
Formation energy from the elements in meV/atom: -212
M_tot in μB per formula unit: 0.000
SG: Im-3 (204)

a b c (Å): 8.9341 8.9341 8.9341
angles (deg): 109.47 109.47 109.47
Fractional positions:
La 0.4983 0.1848 0.3135
La 0.8152 0.3135 0.1287
La 0.1287 0.8152 0.3135
La 0.6865 0.8713 0.1848
La 0.5017 0.8152 0.6865
La 0.8152 0.6865 0.5017
La 0.6865 0.5017 0.8152
La 0.1848 0.6865 0.8713
La 0.3135 0.1287 0.8152
La 0.3135 0.4983 0.1848
La 0.1848 0.3135 0.4983
La 0.8713 0.1848 0.6865
Ni 0.3765 0.5000 0.8765
Ni 0.1235 0.6235 0.5000
Ni 0.5000 0.8765 0.3765
Ni 0.6235 0.5000 0.1235
Ni 0.8765 0.3765 0.5000
Ni 0.5000 0.1235 0.6235
Nd 0.0000 0.0000 0.0000

---

[3]
Computed, not measured: SrMnBi3 after structural relaxation at the PBE level of DFT.

Properties
Formation energy from the elements in meV/atom: 1053
M_tot in μB per formula unit: 4.969
SG: Pm-3m (221)
Offset from the most stable computed form in meV per atom: 918.6

a b c (Å): 6.0545 6.0545 6.0545
angles (deg): 90.00 90.00 90.00
Last column: magnetic moment on the atom in μB.
Fractional positions:
Bi 0.5000 0.0000 0.0000  -0.01
Bi 0.0000 0.0000 0.5000  -0.09
Bi 0.0000 0.5000 0.0000  -0.04
Mn 0.5000 0.5000 0.5000  4.58
Sr 0.0000 0.0000 0.0000  0.01